# 1
MnIr6Rh8, relaxed, DFT PBE-GGA; energy above the lowest structure with this stoichiometry = 0.0 meV per atom; SG = P-3 (147); magnetization = 3.58 μB/cell; formation enthalpy at 0 K = 247 meV/atom; energy = -7.8296 eV/atom
1.0
9.899 0.000 0.000
-4.950 8.573 0.000
0.000 0.000 2.720
Mn Ir Rh
1 6 8
direct
0.000 0.000 0.000
0.089 0.623 0.250
0.377 0.466 0.250
0.466 0.089 0.750
0.534 0.911 0.250
0.623 0.534 0.750
0.911 0.377 0.750
0.077 0.278 0.255
0.201 0.923 0.255
0.278 0.201 0.745
0.333 0.667 0.745
0.667 0.333 0.255
0.722 0.799 0.255
0.799 0.077 0.745
0.923 0.722 0.745



# 2
MnIr3Rh3, relaxed, DFT PBE-GGA; energy above the lowest structure with this stoichiometry = 432.5 meV per atom; SG = P6_3/m (176); magnetization = 4.18 μB/cell; formation enthalpy at 0 K = 622 meV/atom; energy = -7.6363 eV/atom
1.0
11.239 0.000 0.000
-5.619 9.733 0.000
0.000 0.000 2.647
Mn Ir Rh
2 6 6
direct
0.333 0.667 0.250
0.667 0.333 0.750
0.147 0.429 0.250
0.282 0.853 0.250
0.429 0.282 0.750
0.571 0.718 0.250
0.718 0.147 0.750
0.853 0.571 0.750
0.073 0.623 0.250
0.377 0.450 0.250
0.450 0.073 0.750
0.550 0.927 0.250
0.623 0.550 0.750
0.927 0.377 0.750



# 3
MnIrRh, relaxed, DFT PBE-GGA; energy above the lowest structure with this stoichiometry = 304.9 meV per atom; SG = F-43m (216); magnetization = 2.01 μB/cell; formation enthalpy at 0 K = 224 meV/atom; energy = -8.2364 eV/atom
1.0
0.000 2.848 2.848
2.848 0.000 2.848
2.848 2.848 0.000
Mn Ir Rh
1 1 1
direct
0.000 0.000 0.000
0.750 0.750 0.750
0.250 0.250 0.250



# 4
Mn2Ir9Rh, relaxed, DFT PBE-GGA; SG = P4/mmm (123); magnetization = 3.49 μB/cell; formation enthalpy at 0 K = -108 meV/atom; energy = -8.8948 eV/atom
1.0
3.838 0.000 0.000
0.000 3.838 0.000
0.000 0.000 11.504
Mn Ir Rh
2 9 1
direct
0.000 0.000 0.166
0.000 0.000 0.834
0.000 0.500 0.000
0.000 0.500 0.330
0.000 0.500 0.670
0.500 0.000 0.000
0.500 0.000 0.330
0.500 0.000 0.670
0.500 0.500 0.166
0.500 0.500 0.500
0.500 0.500 0.834
0.000 0.000 0.500



# 5
Mn2Ir3Rh3, relaxed, DFT PBE-GGA; SG = Pmmm (47); magnetization = 4.59 μB/cell; formation enthalpy at 0 K = -150 meV/atom; energy = -8.5219 eV/atom
1.0
3.814 0.000 0.000
0.000 3.820 0.000
0.000 0.000 7.617
Mn Ir Rh
2 3 3
direct
0.000 0.000 0.249
0.000 0.000 0.751
0.000 0.500 0.000
0.500 0.000 0.000
0.500 0.000 0.500
0.000 0.500 0.500
0.500 0.500 0.250
0.500 0.500 0.750



# 6
MnIr4Rh2, relaxed, DFT PBE-GGA; SG = Cmmm (65); magnetization = 1.47 μB/cell; formation enthalpy at 0 K = 32 meV/atom; energy = -8.4419 eV/atom
1.0
1.355 -13.590 0.000
1.355 13.590 0.000
0.000 0.000 2.709
Mn Ir Rh
1 4 2
direct
0.000 0.000 0.000
0.139 0.861 0.000
0.434 0.566 0.500
0.566 0.434 0.500
0.861 0.139 0.000
0.292 0.708 0.500
0.708 0.292 0.500